No. 1
VASP calculation (PBE) on an optimized crystal structure of SiSeN2.

a = 3.915 Å, b = 3.915 Å, c = 3.915 Å
α = 60.00°, β = 60.00°, γ = 60.00°
Positions (direct):
N1 0.750 0.750 0.750
Si1 0.000 0.000 0.000
Se1 0.500 0.500 0.500
N2 0.250 0.250 0.250

Results
Formation energy (no corrections) in eV per atom: 1.7844



No. 2
VASP calculation (PBE) on an optimized crystal structure of Pm2ErGa2.

a = 4.485 Å, b = 7.700 Å, c = 7.700 Å
α = 90.00°, β = 90.00°, γ = 90.00°
Positions (direct):
Ga1 0.000 0.620 0.120
Er1 0.000 0.000 0.000
Pm1 0.500 0.826 0.326
Pm2 0.500 0.674 0.826
Ga2 0.000 0.880 0.620
Er2 0.000 0.500 0.500
Ga3 0.000 0.120 0.380
Ga4 0.000 0.380 0.880
Pm3 0.500 0.174 0.674
Pm4 0.500 0.326 0.174

Results
ΔH_f (0 K) in eV/atom: -0.519



No. 3
VASP calculation (PBE) on an optimized crystal structure of Pm2Pu3Si4.

a = 7.355 Å, b = 7.745 Å, c = 7.772 Å
α = 90.00°, β = 90.00°, γ = 106.94°
Each line ends with the local moment (μB).
Positions (direct):
Pm1 0.928 0.811 0.823  0.18
Pm2 0.572 0.189 0.323  0.18
Pu1 0.247 0.254 0.689  5.28
Pu2 0.000 0.500 0.500  5.44
Pm3 0.428 0.811 0.677  0.18
Si1 0.629 0.930 0.029  -0.05
Si2 0.371 0.070 0.971  -0.05
Pu3 0.253 0.746 0.189  5.28
Si3 0.617 0.512 0.612  -0.06
Pm4 0.072 0.189 0.177  0.18
Si4 0.117 0.512 0.888  -0.06
Pu4 0.747 0.254 0.811  5.28
Si5 0.129 0.930 0.471  -0.05
Si6 0.871 0.070 0.529  -0.05
Pu5 0.753 0.746 0.311  5.28
Si7 0.883 0.488 0.112  -0.06
Pu6 0.500 0.500 0.000  5.44
Si8 0.383 0.488 0.388  -0.06

Results
Formation energy (no corrections) in eV per atom: -0.5252



No. 4
VASP calculation (PBE) on an optimized crystal structure of Li4HgPd4.

a = 3.949 Å, b = 6.194 Å, c = 6.194 Å
α = 84.17°, β = 71.41°, γ = 71.41°
Positions (direct):
Pd1 0.332 0.668 0.668
Li1 0.676 0.647 0.000
Li2 0.676 0.000 0.647
Hg1 0.000 0.000 0.000
Li3 0.324 0.353 0.000
Pd2 0.668 0.332 0.332
Pd3 0.000 0.332 0.668
Pd4 0.000 0.668 0.332
Li4 0.324 0.000 0.353

Results
ΔH_f (0 K) in eV/atom: -0.386



No. 5
VASP calculation (PBE) on an optimized crystal structure of TlRu2Pt.

a = 4.087 Å, b = 4.087 Å, c = 3.904 Å
α = 90.00°, β = 90.00°, γ = 90.00°
Positions (direct):
Pt1 0.000 0.500 0.500
Ru1 0.000 0.000 0.000
Ru2 0.500 0.500 0.000
Tl1 0.500 0.000 0.500

Results
ΔH_f (0 K) in eV/atom: 0.459



No. 6
VASP calculation (PBE) on an optimized crystal structure of TaAlI3.

a = 5.715 Å, b = 5.715 Å, c = 5.715 Å
α = 90.00°, β = 90.00°, γ = 90.00°
Each line ends with the local moment (μB).
Positions (direct):
I1 0.000 0.000 0.500  0.01
Al1 0.500 0.500 0.500  0.03
I2 0.500 0.000 0.000  0.03
Ta1 0.000 0.000 0.000  1.81
I3 0.000 0.500 0.000  0.01

Results
Formation energy (no corrections) in eV per atom: 0.4467



No. 7
VASP calculation (PBE) on an optimized crystal structure of CaMgCd.

a = 6.461 Å, b = 6.461 Å, c = 6.461 Å
α = 146.76°, β = 146.89°, γ = 47.62°
Positions (direct):
Cd1 0.319 0.319 0.000
Ca1 0.993 0.993 0.000
Mg1 0.688 0.688 0.000

Results
ΔH_f (0 K) in eV/atom: -0.198



No. 8
VASP calculation (PBE) on an optimized crystal structure of MgNb2Pd.

a = 7.677 Å, b = 7.677 Å, c = 6.021 Å
α = 50.39°, β = 50.39°, γ = 90.00°
Positions (direct):
Nb1 0.657 0.125 0.250
Mg1 0.250 0.750 0.500
Pd1 0.750 0.250 0.500
Nb2 0.093 0.625 0.250
Pd2 0.000 0.000 0.000
Nb3 0.875 0.907 0.750
Nb4 0.375 0.343 0.750
Mg2 0.500 0.500 0.000

Results
ΔH_f (0 K) in eV/atom: 0.340